[1]
This record from the Alexandria database describes TlCdGa2Pt after structural relaxation. The functional is PBE-GGA.

abc: 4.8442 4.8442 5.3289
angles: 90.00 90.00 90.00
Fractional coordinates of all 5 atoms:
Pt 0.0000 0.0000 0.0000
Ga 0.5000 0.0000 0.0000
Ga 0.0000 0.5000 0.0000
Tl 0.5000 0.5000 0.5000
Cd 0.0000 0.0000 0.5000

Computed properties:
calculated volume: 125.1 Å³ per cell
M_tot: 0.0 μB per cell
space-group type: P4/mmm (123)
energy of formation from the pure elements: -0.20 eV/atom
total energy: -3.271 eV per atom

[2]
This record from the Alexandria database describes CaPd6Pb after structural relaxation. The functional is PBE-GGA.

abc: 5.2439 5.2439 5.2439
angles: 90.00 90.00 90.00
Fractional coordinates of all 8 atoms:
Pd 0.2487 0.0000 0.5000
Pd 0.5000 0.7513 0.0000
Pd 0.5000 0.2487 0.0000
Pd 0.0000 0.5000 0.2487
Pd 0.7513 0.0000 0.5000
Pd 0.0000 0.5000 0.7513
Ca 0.5000 0.5000 0.5000
Pb 0.0000 0.0000 0.0000

Computed properties:
calculated volume: 144.2 Å³ per cell
M_tot: 0.0 μB per cell
space-group type: Pm-3 (200)
energy of formation from the pure elements: -0.21 eV/atom
ΔE to the lowest computed polymorph: 1.32 eV/f.u.
total energy: -4.821 eV per atom

[3]
This record from the Alexandria database describes Mg6InO8 after structural relaxation. The functional is PBE-GGA.

abc: 6.1119 6.1119 6.1119
angles: 60.00 60.00 60.00
Fractional coordinates of all 15 atoms:
O 0.2500 0.2500 0.2500
O 0.2456 0.2456 0.7544
O 0.7500 0.7500 0.7500
O 0.7544 0.2456 0.2456
O 0.7544 0.7544 0.2456
O 0.2456 0.7544 0.7544
O 0.7544 0.2456 0.7544
O 0.2456 0.7544 0.2456
Mg 0.0000 0.0000 0.5000
Mg 0.0000 0.5000 0.5000
Mg 0.5000 0.0000 0.0000
Mg 0.0000 0.5000 0.0000
Mg 0.5000 0.0000 0.5000
Mg 0.5000 0.5000 0.0000
In 0.0000 0.0000 0.0000

Computed properties:
calculated volume: 161.4 Å³ per cell
M_tot: 1.0 μB per cell
space-group type: Fm-3m (225)
formation energy (no corrections): -2283 meV/atom
total energy: -5.748 eV per atom